The following is a GGA-PBE calculation of crystalline KNp2O6 at its relaxed geometry, from Alexandria via LeMat-Bulk. Values from VASP.

Output
The space-group type is I4/mmm (139). The calculation puts the spin magnetization at 3.0 Bohr magnetons per cell. The total energy comes out at -8.881 eV/atom. Its crystal system is tetragonal. The energy relative to the lowest polymorph listed for this composition is 0.109 eV per atom.

Quantum ESPRESSO input file:
```
&SYSTEM
  ibrav = 0, nat = 9, ntyp = 3
/
ATOMIC_SPECIES
K 39.10 K.upf
Np 237.00 Np.upf
O 16.00 O.upf
ATOMIC_POSITIONS angstrom
K 0.0000 0.0000 0.0000
Np 0.0000 0.0000 5.9624
Np 0.0000 0.0000 12.0830
O 1.8581 0.0000 2.0048
O 1.8581 0.0000 4.5113
O 1.8581 0.0000 7.0179
O 0.0000 1.8581 2.0048
O 0.0000 1.8581 4.5113
O 0.0000 1.8581 7.0179
CELL_PARAMETERS angstrom
-1.8581 1.8581 9.0227
1.8581 -1.8581 9.0227
1.8581 1.8581 -9.0227
```



The following is a GGA-PBE calculation of crystalline K3NpO6 at its relaxed geometry, from Alexandria via LeMat-Bulk. Values from VASP.

Output
The space-group type is P6_322 (182). The calculation puts the spin magnetization at 4.2 Bohr magnetons per cell. The total energy comes out at -6.433 eV/atom. Its crystal system is hexagonal. The energy relative to the lowest polymorph listed for this composition is 0.180 eV per atom.

Quantum ESPRESSO input file:
```
&SYSTEM
  ibrav = 0, nat = 20, ntyp = 3
/
ATOMIC_SPECIES
K 39.10 K.upf
Np 237.00 Np.upf
O 16.00 O.upf
ATOMIC_POSITIONS angstrom
K 0.0000 0.0000 0.0000
K 0.0000 0.0000 5.3632
K 0.0000 3.7594 0.8612
K 0.0000 3.7594 4.5020
K 3.2557 1.8797 6.2243
K 3.2557 1.8797 9.8651
Np 0.0000 3.7594 8.0447
Np 3.2557 1.8797 2.6816
O -0.7146 2.3672 6.8594
O -1.5629 3.8366 9.2301
O 0.7146 2.3672 9.2301
O -0.8483 5.0743 6.8594
O 2.4074 0.5648 3.8669
O 1.6928 1.8025 1.4962
O 1.5629 3.8366 6.8594
O 0.8483 5.0743 9.2301
O 4.1040 0.5648 1.4962
O 2.5411 3.2718 3.8669
O 4.8186 1.8025 3.8669
O 3.9703 3.2718 1.4962
CELL_PARAMETERS angstrom
6.5114 0.0000 0.0000
-3.2557 5.6391 0.0000
0.0000 0.0000 10.7263
```



The following is a GGA-PBE calculation of crystalline K2Np3O8 at its relaxed geometry, from Alexandria via LeMat-Bulk. Values from VASP.

Output
The space-group type is C2/m (12). The calculation puts the spin magnetization at 7.0 Bohr magnetons per cell. The total energy comes out at -8.905 eV/atom. Its crystal system is monoclinic.

Quantum ESPRESSO input file:
```
&SYSTEM
  ibrav = 0, nat = 13, ntyp = 3
/
ATOMIC_SPECIES
K 39.10 K.upf
Np 237.00 Np.upf
O 16.00 O.upf
ATOMIC_POSITIONS angstrom
K 2.3778 0.0000 0.8732
K 8.2874 0.0000 4.7215
Np 5.3326 1.7795 2.7974
Np 6.3828 0.0000 0.0000
Np 5.3326 -1.7795 2.7974
O 0.2362 0.0000 2.6074
O 5.0040 1.4877 0.6854
O 5.6612 1.4877 4.9093
O 4.0123 0.0000 3.3287
O 6.6528 0.0000 2.2661
O 5.0040 -1.4877 0.6854
O 5.6612 -1.4877 4.9093
O 10.4290 0.0000 2.9873
CELL_PARAMETERS angstrom
6.3828 -3.4794 0.0000
6.3828 3.4794 0.0000
-2.1004 0.0000 5.5947
```



The following is a GGA-PBE calculation of crystalline K3Np2O7 at its relaxed geometry, from Alexandria via LeMat-Bulk. Values from VASP.

Output
The space-group type is I4/mmm (139). The calculation puts the spin magnetization at 3.0 Bohr magnetons per cell. The total energy comes out at -7.886 eV/atom. Its crystal system is tetragonal. The energy relative to the lowest polymorph listed for this composition is 0.000 eV per atom.

Quantum ESPRESSO input file:
```
&SYSTEM
  ibrav = 0, nat = 12, ntyp = 3
/
ATOMIC_SPECIES
K 39.10 K.upf
Np 237.00 Np.upf
O 16.00 O.upf
ATOMIC_POSITIONS angstrom
K 0.0000 0.0000 0.0000
K 0.0000 0.0000 4.2014
K 0.0000 0.0000 17.8435
Np 0.0000 0.0000 8.8872
Np 0.0000 0.0000 13.1577
O 2.1528 0.0000 2.1047
O 0.0000 0.0000 6.9299
O 2.1528 0.0000 8.9177
O 0.0000 0.0000 11.0224
O 0.0000 2.1528 2.1047
O 0.0000 0.0000 15.1150
O 0.0000 2.1528 8.9177
CELL_PARAMETERS angstrom
-2.1528 2.1528 11.0224
2.1528 -2.1528 11.0224
2.1528 2.1528 -11.0224
```



The following is a GGA-PBE calculation of crystalline K3Np6O20 at its relaxed geometry, from Alexandria via LeMat-Bulk. Values from VASP.

Output
The space-group type is Fm-3m (225). The calculation puts the spin magnetization at 5.0 Bohr magnetons per cell. The total energy comes out at -8.505 eV/atom. Its crystal system is cubic.

Quantum ESPRESSO input file:
```
&SYSTEM
  ibrav = 0, nat = 29, ntyp = 3
/
ATOMIC_SPECIES
K 39.10 K.upf
Np 237.00 Np.upf
O 16.00 O.upf
ATOMIC_POSITIONS angstrom
K 0.0000 0.0000 0.0000
K 2.8299 2.8299 2.8299
K 8.4896 8.4896 8.4896
Np 5.6598 5.6598 3.0072
Np 5.6598 3.0072 5.6598
Np 8.3123 5.6598 5.6598
Np 3.0072 5.6598 5.6598
Np 5.6598 8.3123 5.6598
Np 5.6598 5.6598 8.3123
O 1.8186 1.8186 0.0000
O 3.8411 3.8411 0.0000
O 1.8186 0.0000 1.8186
O 5.6598 3.8411 1.8186
O 3.8411 0.0000 3.8411
O 5.6598 1.8186 3.8411
O 6.9227 4.3968 4.3968
O 0.0000 1.8186 1.8186
O 3.8411 5.6598 1.8186
O 3.8411 1.8186 5.6598
O 4.3968 4.3968 4.3968
O 6.9227 6.9227 4.3968
O 6.9227 4.3968 6.9227
O 4.3968 6.9227 4.3968
O 4.3968 4.3968 6.9227
O 6.9227 6.9227 6.9227
O 0.0000 3.8411 3.8411
O 1.8186 5.6598 3.8411
O 1.8186 3.8411 5.6598
O 4.3968 6.9227 6.9227
CELL_PARAMETERS angstrom
0.0000 5.6598 5.6598
5.6598 0.0000 5.6598
5.6598 5.6598 0.0000
```



The following is a GGA-PBE calculation of crystalline KNpO4 at its relaxed geometry, from Alexandria via LeMat-Bulk. Values from VASP.

Output
The space-group type is P4/mmm (123). The calculation puts the spin magnetization at 0.1 Bohr magnetons per cell. The total energy comes out at -7.833 eV/atom. Its crystal system is tetragonal. The energy relative to the lowest polymorph listed for this composition is 0.287 eV per atom.

Quantum ESPRESSO input file:
```
&SYSTEM
  ibrav = 0, nat = 6, ntyp = 3
/
ATOMIC_SPECIES
K 39.10 K.upf
Np 237.00 Np.upf
O 16.00 O.upf
ATOMIC_POSITIONS angstrom
K 0.0000 0.0000 0.0000
Np 1.8113 1.8113 3.2106
O 0.0000 1.8113 2.0290
O 0.0000 1.8113 4.3921
O 1.8113 0.0000 2.0290
O 1.8113 0.0000 4.3921
CELL_PARAMETERS angstrom
3.6226 0.0000 0.0000
0.0000 3.6226 0.0000
0.0000 0.0000 6.4211
```



The following is a GGA-PBE calculation of crystalline KNpO5 at its relaxed geometry, from Alexandria via LeMat-Bulk. Values from VASP.

Output
The space-group type is P-1 (2). The calculation puts the spin magnetization at 0.1 Bohr magnetons per cell. The total energy comes out at -7.576 eV/atom. Its crystal system is triclinic.

Quantum ESPRESSO input file:
```
&SYSTEM
  ibrav = 0, nat = 14, ntyp = 3
/
ATOMIC_SPECIES
K 39.10 K.upf
Np 237.00 Np.upf
O 16.00 O.upf
ATOMIC_POSITIONS angstrom
K 0.1042 1.0637 2.3642
K 3.4351 4.4030 4.9150
Np 0.4477 0.9651 6.4064
Np 3.0917 4.5016 0.8728
O -1.3342 1.1591 5.1062
O -0.5657 2.3174 4.9686
O -0.5311 5.0343 6.8558
O 1.9494 2.3499 0.5819
O 2.1782 5.1964 2.3016
O 1.3611 0.2703 4.9776
O 1.5899 3.1169 6.6973
O 4.0704 0.4324 0.4234
O 4.1050 3.1493 2.3106
O 4.8735 4.3076 2.1730
CELL_PARAMETERS angstrom
5.9199 0.0000 0.0000
-0.0152 5.9843 0.0000
-2.3654 -0.5176 7.2792
```



The following is a GGA-PBE calculation of crystalline K5Np3O12 at its relaxed geometry, from Alexandria via LeMat-Bulk. Values from VASP.

Output
The space-group type is Ia-3d (230). The calculation puts the spin magnetization at 8.0 Bohr magnetons per cell. The total energy comes out at -7.230 eV/atom. Its crystal system is cubic. The energy relative to the lowest polymorph listed for this composition is 0.443 eV per atom.

Quantum ESPRESSO input file:
```
&SYSTEM
  ibrav = 0, nat = 80, ntyp = 3
/
ATOMIC_SPECIES
K 39.10 K.upf
Np 237.00 Np.upf
O 16.00 O.upf
ATOMIC_POSITIONS angstrom
K 0.0000 0.0000 0.0000
K 3.7504 3.7504 -3.7504
K 3.7504 -3.7504 3.7504
K 7.5008 0.0000 0.0000
K 11.2511 1.8752 0.0000
K 7.5008 -3.7504 5.6256
K 5.6256 7.5008 -3.7504
K 5.6256 0.0000 3.7504
K 3.7504 5.6256 0.0000
K 7.5008 3.7504 1.8752
K -3.7504 3.7504 3.7504
K 0.0000 7.5008 0.0000
K 0.0000 0.0000 7.5008
K 3.7504 3.7504 3.7504
K 0.0000 3.7504 5.6256
K 3.7504 1.8752 7.5008
K 1.8752 7.5008 3.7504
K 1.8752 0.0000 11.2511
K 0.0000 11.2511 1.8752
K -3.7504 5.6256 7.5008
Np 3.7504 1.8752 0.0000
Np 7.5008 3.7504 -1.8752
Np 1.8752 0.0000 3.7504
Np 9.3759 0.0000 3.7504
Np 0.0000 3.7504 1.8752
Np 3.7504 -1.8752 7.5008
Np 3.7504 9.3759 0.0000
Np 7.5008 3.7504 5.6256
Np -1.8752 7.5008 3.7504
Np 5.6256 7.5008 3.7504
Np 0.0000 3.7504 9.3759
Np 3.7504 5.6256 7.5008
O 10.1246 -0.4126 0.5795
O 8.6272 -3.1709 3.3378
O 2.6239 0.4126 0.5795
O 8.6272 4.3299 -3.3378
O 7.9133 -0.5795 2.6239
O 10.8385 -1.1265 3.1709
O 4.3299 3.3378 -1.1265
O 6.9213 2.6239 -0.4126
O 0.5795 2.6239 0.4126
O 10.6716 4.1630 -1.1265
O 0.4126 0.5795 2.6239
O 3.3378 -1.1265 4.3299
O 7.9133 6.9213 -2.6239
O 3.3378 1.1265 3.1709
O 3.1709 3.3378 1.1265
O 8.0802 4.8769 -0.4126
O 4.3299 -3.3378 8.6272
O 6.9213 -2.6239 7.9133
O 3.3378 8.6272 -3.1709
O 7.9133 0.5795 4.8769
O 1.1265 3.1709 3.3378
O 2.6239 -0.4126 6.9213
O 2.6239 7.9133 -0.5795
O 8.6272 3.1709 4.1630
O -1.1265 4.3299 3.3378
O 4.8769 -0.4126 8.0802
O 4.8769 7.9133 0.5795
O 6.3743 4.3299 4.1630
O -0.4126 6.9213 2.6239
O 4.1630 -1.1265 10.6716
O 0.5795 10.1246 -0.4126
O 3.1709 10.8385 -1.1265
O -0.5795 2.6239 7.9133
O 4.3299 4.1630 6.3743
O 4.1630 6.3743 4.3299
O -0.4126 0.5795 10.1246
O 4.1630 8.6272 3.1709
O 7.0882 6.9213 4.8769
O -3.1709 3.3378 8.6272
O 6.9213 4.8769 7.0882
O 0.5795 4.8769 7.9133
O 3.1709 4.1630 8.6272
O -3.3378 8.6272 4.3299
O -0.4126 8.0802 4.8769
O -1.1265 3.1709 10.8385
O 4.8769 7.0882 6.9213
O -1.1265 10.6716 4.1630
O -2.6239 7.9133 6.9213
CELL_PARAMETERS angstrom
-7.5008 7.5008 7.5008
7.5008 -7.5008 7.5008
7.5008 7.5008 -7.5008
```



The following is a GGA-PBE calculation of crystalline K2NpOs3O12 at its relaxed geometry, from Alexandria via LeMat-Bulk. Values from VASP.

Output
The space-group type is R-3m (166). The calculation puts the spin magnetization at 1.2 Bohr magnetons per cell. The total energy comes out at -7.604 eV/atom. Its crystal system is trigonal.

Quantum ESPRESSO input file:
```
&SYSTEM
  ibrav = 0, nat = 18, ntyp = 4
/
ATOMIC_SPECIES
K 39.10 K.upf
Np 237.00 Np.upf
Os 190.23 Os.upf
O 16.00 O.upf
ATOMIC_POSITIONS angstrom
K 0.0000 0.0000 2.3650
K 0.0000 0.0000 16.1864
Np 0.0000 0.0000 9.2757
Os -1.8135 -1.0470 6.1838
Os -1.8135 1.0470 12.3676
Os 0.0000 2.0940 6.1838
O -1.5074 -0.8703 8.1305
O 0.0000 -1.5838 5.9624
O -1.3717 0.7919 5.9624
O 0.0000 -1.7406 10.4209
O -1.5074 0.8703 10.4209
O -1.3717 -0.7919 12.5890
O 1.3717 0.7919 5.9625
O 1.5074 -0.8703 8.1305
O 0.0000 1.7406 8.1305
O 1.3717 -0.7919 12.5890
O 0.0000 1.5838 12.5890
O 1.5074 0.8703 10.4209
CELL_PARAMETERS angstrom
3.6269 2.0940 6.1838
-3.6269 2.0940 6.1838
0.0000 -4.1880 6.1838
```



The following is a GGA-PBE calculation of crystalline K2NpPO6 at its relaxed geometry, from Alexandria via LeMat-Bulk. Values from VASP.

Output
The space-group type is Fm-3m (225). The calculation puts the spin magnetization at 2.0 Bohr magnetons per cell. The total energy comes out at -7.189 eV/atom. Its crystal system is cubic.

Quantum ESPRESSO input file:
```
&SYSTEM
  ibrav = 0, nat = 10, ntyp = 4
/
ATOMIC_SPECIES
K 39.10 K.upf
Np 237.00 Np.upf
P 30.97 P.upf
O 16.00 O.upf
ATOMIC_POSITIONS angstrom
K 1.9659 1.9659 1.9659
K 5.8978 5.8978 5.8978
Np 0.0000 0.0000 0.0000
P 3.9319 3.9319 3.9319
O 3.9319 3.9319 2.1754
O 3.9319 2.1754 3.9319
O 5.6884 3.9319 3.9319
O 2.1754 3.9319 3.9319
O 3.9319 5.6884 3.9319
O 3.9319 3.9319 5.6884
CELL_PARAMETERS angstrom
0.0000 3.9319 3.9319
3.9319 0.0000 3.9319
3.9319 3.9319 0.0000
```



The following is a GGA-PBE calculation of crystalline KNpP2O6 at its relaxed geometry, from Alexandria via LeMat-Bulk. Values from VASP.

Output
The space-group type is C2/c (15). The calculation puts the spin magnetization at 8.0 Bohr magnetons per cell. The total energy comes out at -7.737 eV/atom. Its crystal system is monoclinic.

Quantum ESPRESSO input file:
```
&SYSTEM
  ibrav = 0, nat = 20, ntyp = 4
/
ATOMIC_SPECIES
K 39.10 K.upf
Np 237.00 Np.upf
P 30.97 P.upf
O 16.00 O.upf
ATOMIC_POSITIONS angstrom
K 1.5014 4.2043 5.6323
K 2.9560 -4.2043 1.8774
Np 2.9560 2.3870 1.8774
Np 1.5014 -2.3870 5.6323
P 0.3645 1.0941 5.7848
P 1.8191 -1.0941 2.0300
P 2.6383 1.0941 5.4797
P 4.0929 -1.0941 1.7249
O -0.4633 1.6345 4.5970
O -0.0854 1.9912 6.9786
O 1.6261 0.4168 2.2479
O 0.9913 -1.6345 0.8421
O 0.1715 -0.4168 6.0028
O 3.0882 1.9912 4.2860
O 1.3692 -1.9912 3.2237
O 4.2860 0.4168 1.5069
O 3.4661 1.6345 6.6676
O 2.8313 -0.4168 5.2618
O 4.5428 -1.9912 0.5311
O 4.9207 -1.6345 2.9127
CELL_PARAMETERS angstrom
3.6833 -5.5568 0.0000
3.6833 5.5568 0.0000
-2.9092 0.0000 7.5097
```



The following is a GGA-PBE calculation of crystalline K3NpP2O8 at its relaxed geometry, from Alexandria via LeMat-Bulk. Values from VASP.

Output
The space-group type is P-3m1 (164). The calculation puts the spin magnetization at 4.0 Bohr magnetons per cell. The total energy comes out at -7.140 eV/atom. Its crystal system is trigonal.

Quantum ESPRESSO input file:
```
&SYSTEM
  ibrav = 0, nat = 14, ntyp = 4
/
ATOMIC_SPECIES
K 39.10 K.upf
Np 237.00 Np.upf
P 30.97 P.upf
O 16.00 O.upf
ATOMIC_POSITIONS angstrom
K 0.0000 0.0000 0.0000
K 0.0000 3.3482 5.8180
K 2.8997 1.6741 2.0900
Np 0.0000 0.0000 3.9540
P 0.0000 3.3482 1.9812
P 2.8997 1.6741 5.9268
O 0.0000 1.8797 2.5441
O -1.2718 4.0825 2.5441
O 0.0000 3.3482 0.4647
O 1.6279 0.9399 5.3638
O 1.2718 4.0825 2.5441
O 2.8997 1.6741 7.4432
O 4.1715 0.9399 5.3638
O 2.8997 3.1427 5.3638
CELL_PARAMETERS angstrom
5.7993 0.0000 0.0000
-2.8997 5.0224 0.0000
0.0000 0.0000 7.9079
```



Calculated raw formation energy, -2578, -1834, -2698, -2563, -2295, -2188, -2029, -2040, -1586, -2160, -2277, -2375 meV/atom (same order as the records).